Entry from Alexandria via LeMat-Bulk: a relaxed InRePb3 crystal (GGA-PBE).

Calculated formation energy, eV/f.u.: 2.871
DFT total energy, eV for the cell shown: -23.440
Symmetry: Pm-3m
Excess energy over the best structure of this formula in the dataset, meV/atom: 0

Structure (extended XYZ):
```
5
Lattice="5.380 0.000 0.000 0.000 5.380 0.000 0.000 0.000 5.380" Properties=species:S:1:pos:R:3 pbc="T T T"
Pb 0.000 2.690 0.000
Pb 0.000 0.000 2.690
Pb 2.690 0.000 0.000
Re 0.000 0.000 0.000
In 2.690 2.690 2.690
```


Entry from Alexandria via LeMat-Bulk: a relaxed InRePb crystal (GGA-PBE).

Calculated formation energy, eV/f.u.: 2.875
DFT total energy, eV for the cell shown: -16.020
Symmetry: P-6m2
Excess energy over the best structure of this formula in the dataset, meV/atom: 207

Structure (extended XYZ):
```
3
Lattice="-2.574 1.459 4.072 1.611 -4.752 -0.389 2.521 0.746 1.326" Properties=species:S:1:pos:R:3 pbc="T T T"
In 2.101 0.622 1.105
Pb 1.059 -2.432 1.541
Re 0.919 0.010 3.688
```


Entry from Alexandria via LeMat-Bulk: a relaxed InRe3Pb crystal (GGA-PBE).

Calculated formation energy, eV/f.u.: 13.891
DFT total energy, eV for the cell shown: -29.900
Symmetry: Pm-3m
Excess energy over the best structure of this formula in the dataset, meV/atom: 0

Structure (extended XYZ):
```
5
Lattice="-0.490 -2.381 4.274 -2.291 -3.683 -2.315 4.323 -2.222 -0.742" Properties=species:S:1:pos:R:3 pbc="T T T"
Pb 0.771 -4.143 0.608
Re -1.145 -1.842 -1.157
Re 2.161 -1.111 -0.371
Re -0.245 -1.191 2.137
In 0.000 0.000 0.000
```


Entry from Alexandria via LeMat-Bulk: a relaxed InRePb crystal (GGA-PBE).

Calculated formation energy, eV/f.u.: 2.253
DFT total energy, eV for the cell shown: -16.641
Symmetry: I4mm
Excess energy over the best structure of this formula in the dataset, meV/atom: 0

Structure (extended XYZ):
```
3
Lattice="5.370 -0.010 -0.002 2.974 4.471 0.002 -4.171 -2.233 2.541" Properties=species:S:1:pos:R:3 pbc="T T T"
In 0.099 0.053 0.000
Pb -1.460 -0.783 2.541
Re 5.533 2.959 0.000
```


Entry from Alexandria via LeMat-Bulk: a relaxed InRe2TcPb crystal (GGA-PBE).

Calculated formation energy, eV/f.u.: 14.566
DFT total energy, eV for the cell shown: -27.143
Symmetry: P4/mmm

Structure (extended XYZ):
```
5
Lattice="4.922 0.000 0.000 0.000 5.306 0.000 0.000 0.000 4.922" Properties=species:S:1:pos:R:3 pbc="T T T"
Pb 0.000 2.653 0.000
Re 0.000 0.000 2.461
Re 2.461 0.000 0.000
Tc 2.461 2.653 2.461
In 0.000 0.000 0.000
```


Entry from Alexandria via LeMat-Bulk: a relaxed In2RhPb2 crystal (GGA-PBE).

Calculated formation energy, eV/f.u.: 0.448
DFT total energy, eV for the cell shown: -39.595
Symmetry: P4/mbm
Excess energy over the best structure of this formula in the dataset, meV/atom: 0

Structure (extended XYZ):
```
10
Lattice="-5.916 -1.118 3.637 -2.585 -3.752 -5.358 2.092 -4.379 2.057" Properties=species:S:1:pos:R:3 pbc="T T T"
Pb -1.732 -4.917 -1.951
Pb -5.079 -6.040 -0.939
Pb -4.677 -4.332 2.287
Pb -1.330 -3.209 1.275
Rh 0.000 0.000 0.000
Rh -4.251 -2.435 -0.861
In -4.247 -3.569 -3.278
In -6.701 -3.395 -0.414
In -4.254 -1.301 1.556
In -1.800 -1.474 -1.308
```


Entry from Alexandria via LeMat-Bulk: a relaxed InRhPb3 crystal (GGA-PBE).

Calculated formation energy, eV/f.u.: 0.464
DFT total energy, eV for the cell shown: -20.751
Symmetry: Pm-3m
Excess energy over the best structure of this formula in the dataset, meV/atom: 0

Structure (extended XYZ):
```
5
Lattice="-2.620 2.705 3.777 1.682 -3.490 3.666 4.330 2.992 0.862" Properties=species:S:1:pos:R:3 pbc="T T T"
Pb 0.841 -1.745 1.833
Pb 2.165 1.496 0.431
Pb -1.310 1.353 1.888
Rh 0.000 0.000 0.000
In 1.696 1.104 4.152
```


Entry from Alexandria via LeMat-Bulk: a relaxed In2Rh2Pb crystal (GGA-PBE).

Calculated formation energy, eV/f.u.: -0.255
DFT total energy, eV for the cell shown: -24.144
Symmetry: I4/mmm

Structure (extended XYZ):
```
5
Lattice="-0.017 -4.076 0.709 2.965 0.483 2.844 -2.850 -1.017 6.153" Properties=species:S:1:pos:R:3 pbc="T T T"
Pb 0.000 0.000 0.000
Rh 0.561 -1.632 2.701
Rh -0.462 -2.978 7.006
In -0.696 -3.445 4.320
In 0.795 -1.165 5.387
```


Entry from Alexandria via LeMat-Bulk: a relaxed In3RhPb crystal (GGA-PBE).

Calculated formation energy, eV/f.u.: -0.210
DFT total energy, eV for the cell shown: -19.486
Symmetry: Pm-3m
Excess energy over the best structure of this formula in the dataset, meV/atom: 0

Structure (extended XYZ):
```
5
Lattice="5.162 0.000 0.000 0.000 5.162 0.000 0.000 0.000 5.162" Properties=species:S:1:pos:R:3 pbc="T T T"
Pb 2.581 2.581 2.581
Rh 0.000 0.000 0.000
In 0.000 2.581 0.000
In 0.000 0.000 2.581
In 2.581 0.000 0.000
```


Entry from Alexandria via LeMat-Bulk: a relaxed InRh2Pb2 crystal (GGA-PBE).

Calculated formation energy, eV/f.u.: -0.162
DFT total energy, eV for the cell shown: -50.040
Symmetry: P4/mbm
Excess energy over the best structure of this formula in the dataset, meV/atom: 0

Structure (extended XYZ):
```
10
Lattice="7.334 0.000 0.000 0.000 7.334 0.000 0.000 0.000 3.898" Properties=species:S:1:pos:R:3 pbc="T T T"
Pb 1.143 4.810 1.949
Pb 4.810 6.191 1.949
Pb 6.191 2.524 1.949
Pb 2.524 1.143 1.949
Rh 2.593 6.260 0.000
Rh 6.260 4.741 0.000
Rh 4.741 1.074 0.000
Rh 1.074 2.593 0.000
In 0.000 0.000 0.000
In 3.667 3.667 0.000
```


Entry from Alexandria via LeMat-Bulk: a relaxed In2Rh2Pb crystal (GGA-PBE).

Calculated formation energy, eV/f.u.: 0.281
DFT total energy, eV for the cell shown: -23.608
Symmetry: I4/mmm

Structure (extended XYZ):
```
5
Lattice="4.554 0.000 0.000 0.000 4.554 0.000 2.277 2.277 5.477" Properties=species:S:1:pos:R:3 pbc="T T T"
Pb 0.000 0.000 0.000
Rh 4.554 2.277 2.738
Rh 2.277 4.554 2.738
In 2.277 2.277 1.424
In 4.554 4.554 4.053
```


Entry from Alexandria via LeMat-Bulk: a relaxed InRhPb crystal (GGA-PBE).

Calculated formation energy, eV/f.u.: 0.233
DFT total energy, eV for the cell shown: -13.565
Symmetry: P-6m2

Structure (extended XYZ):
```
3
Lattice="-0.150 3.325 -3.299 -3.493 -3.104 0.359 -1.676 2.144 2.237" Properties=species:S:1:pos:R:3 pbc="T T T"
In -0.838 1.072 1.119
Rh -3.216 0.111 0.258
Pb -1.264 1.182 -2.080
```


Entry from Alexandria via LeMat-Bulk: a relaxed InRhPb crystal (GGA-PBE).

Calculated formation energy, eV/f.u.: -0.265
DFT total energy, eV for the cell shown: -14.063
Symmetry: I4mm

Structure (extended XYZ):
```
3
Lattice="2.029 4.510 4.448 -2.579 4.169 4.495 0.414 -5.990 -2.860" Properties=species:S:1:pos:R:3 pbc="T T T"
In -0.532 8.389 8.644
Rh -0.188 2.972 3.062
Pb -0.380 5.997 6.179
```


Entry from Alexandria via LeMat-Bulk: a relaxed InRhPb crystal (GGA-PBE).

Calculated formation energy, eV/f.u.: -0.119
DFT total energy, eV for the cell shown: -13.917
Symmetry: P3m1

Structure (extended XYZ):
```
3
Lattice="-2.635 1.977 0.928 1.656 -1.858 2.350 4.171 5.062 1.062" Properties=species:S:1:pos:R:3 pbc="T T T"
In 3.984 4.835 1.015
Rh 3.030 2.824 2.590
Pb 0.348 2.583 1.797
```


Entry from Alexandria via LeMat-Bulk: a relaxed In4RhPb crystal (GGA-PBE).

Calculated formation energy, eV/f.u.: 2.230
DFT total energy, eV for the cell shown: -19.783
Symmetry: F-43m

Structure (extended XYZ):
```
6
Lattice="0.000 4.216 4.216 4.216 0.000 4.216 4.216 4.216 0.000" Properties=species:S:1:pos:R:3 pbc="T T T"
In 3.157 5.275 5.275
In 5.275 5.275 3.157
In 5.275 3.157 5.275
In 3.157 3.157 3.157
Rh 0.000 0.000 0.000
Pb 6.324 6.324 6.324
```


Entry from Alexandria via LeMat-Bulk: a relaxed InRh3Pb crystal (GGA-PBE).

Calculated formation energy, eV/f.u.: 4.790
DFT total energy, eV for the cell shown: -23.711
Symmetry: Pm-3m
Excess energy over the best structure of this formula in the dataset, meV/atom: 0

Structure (extended XYZ):
```
5
Lattice="-3.563 -1.646 -2.888 -1.837 -2.554 3.722 -2.771 3.810 1.247" Properties=species:S:1:pos:R:3 pbc="T T T"
Pb -4.086 -0.195 1.040
Rh -0.919 -1.277 1.861
Rh -1.385 1.905 0.623
Rh -1.782 -0.823 -1.444
In 0.000 0.000 0.000
```


Entry from Alexandria via LeMat-Bulk: a relaxed In2RhPb2 crystal (GGA-PBE).

Calculated formation energy, eV/f.u.: 0.894
DFT total energy, eV for the cell shown: -38.702
Symmetry: P4/mbm
Excess energy over the best structure of this formula in the dataset, meV/atom: 89

Structure (extended XYZ):
```
10
Lattice="7.177 0.000 0.000 0.000 7.177 0.000 0.000 0.000 5.236" Properties=species:S:1:pos:R:3 pbc="T T T"
Pb 2.442 6.030 0.000
Pb 6.030 4.735 0.000
Pb 4.735 1.146 0.000
Pb 1.146 2.442 0.000
Rh 0.000 0.000 0.000
Rh 3.588 3.588 0.000
In 1.180 4.768 2.618
In 4.768 5.997 2.618
In 5.997 2.409 2.618
In 2.409 1.180 2.618
```


Entry from Alexandria via LeMat-Bulk: a relaxed InRh2Pb2 crystal (GGA-PBE).

Calculated formation energy, eV/f.u.: 1.152
DFT total energy, eV for the cell shown: -23.706
Symmetry: I4/mmm
Excess energy over the best structure of this formula in the dataset, meV/atom: 263

Structure (extended XYZ):
```
5
Lattice="4.575 0.000 0.000 0.000 4.575 0.000 2.287 2.287 5.708" Properties=species:S:1:pos:R:3 pbc="T T T"
Pb 4.575 2.287 2.854
Pb 2.287 4.575 2.854
Rh 2.287 2.287 1.254
Rh 4.575 4.575 4.455
In 0.000 0.000 0.000
```


Entry from Alexandria via LeMat-Bulk: a relaxed InRh2Pb2 crystal (GGA-PBE).

Calculated formation energy, eV/f.u.: 0.785
DFT total energy, eV for the cell shown: -24.073
Symmetry: I4/mmm
Excess energy over the best structure of this formula in the dataset, meV/atom: 189

Structure (extended XYZ):
```
5
Lattice="-3.868 -0.438 0.228 0.381 -3.793 -0.821 -1.089 -3.765 7.629" Properties=species:S:1:pos:R:3 pbc="T T T"
Pb -1.575 -2.541 1.748
Pb -3.001 -5.454 5.288
Rh -3.350 -3.159 3.780
Rh -1.226 -4.836 3.256
In 0.000 0.000 0.000
```


Entry from Alexandria via LeMat-Bulk: a relaxed InRu2RhPb crystal (GGA-PBE).

Calculated formation energy, eV/f.u.: 10.044
DFT total energy, eV for the cell shown: -22.305
Symmetry: P4/mmm

Structure (extended XYZ):
```
5
Lattice="4.876 0.000 0.000 0.000 5.445 0.000 0.000 0.000 4.876" Properties=species:S:1:pos:R:3 pbc="T T T"
Pb 0.000 2.722 0.000
Ru 0.000 0.000 2.438
Ru 2.438 0.000 0.000
Rh 2.438 2.722 2.438
In 0.000 0.000 0.000
```